No. 1
Sm2AlGaI2 | the Open Quantum Materials Database | GGA-PBE | relaxed; calculated density = 5450 kg/m3; magnetic moment = 0.00 μB/f.u.; space group = P3m1 (156); crystal system = trigonal; total DFT energy (no corrections) = -25.35 eV per cell
1.0
4.281 0.000 0.000
-2.140 3.707 0.000
0.000 0.000 12.505
Sm I Al Ga
2 2 1 1
direct
0.667 0.333 0.834 Sm
0.667 0.333 0.168 Sm
0.000 0.000 0.671 I
0.333 0.667 0.330 I
0.000 0.000 0.016 Al
0.333 0.667 0.981 Ga


No. 2
Li4AlGaIr2 | the Open Quantum Materials Database | GGA-PBE | relaxed; calculated density = 7969 kg/m3; magnetic moment = 0.01 μB/f.u.; space group = P-4m2 (115); crystal system = tetragonal; total DFT energy (no corrections) = -35.75 eV per cell
1.0
-3.279 2.532 -0.784
-1.807 -1.223 3.607
2.744 4.445 2.882
Li Ir Al Ga
4 2 1 1
direct
0.000 0.500 0.253 Li
0.000 0.000 0.500 Li
0.500 0.000 0.747 Li
0.500 0.500 0.000 Li
0.500 0.000 0.247 Ir
0.000 0.500 0.753 Ir
0.000 0.000 0.000 Al
0.500 0.500 0.500 Ga


No. 3
Li4AlGa2Ir | the Open Quantum Materials Database | GGA-PBE | relaxed; calculated density = 5641 kg/m3; magnetic moment = 0.00 μB/f.u.; space group = P-4m2 (115); crystal system = tetragonal; total DFT energy (no corrections) = -28.96 eV per cell
1.0
4.301 0.000 0.000
0.000 4.301 0.000
0.000 0.000 6.149
Ir Li Ga Al
1 4 2 1
direct
0.000 0.000 0.500 Ir
0.000 0.000 0.000 Li
0.500 0.500 0.500 Li
0.500 0.000 0.257 Li
0.000 0.500 0.743 Li
0.500 0.000 0.729 Ga
0.000 0.500 0.271 Ga
0.500 0.500 0.000 Al


No. 4
Li2Mg2AlGaIr2 | the Open Quantum Materials Database | GGA-PBE | relaxed; calculated density = 7693 kg/m3; magnetic moment = 0.00 μB/f.u.; space group = P-4m2 (115); crystal system = tetragonal; total DFT energy (no corrections) = -35.57 eV per cell
1.0
4.364 0.000 0.000
0.000 4.364 0.000
0.000 0.000 6.162
Al Mg Li Ir Ga
1 2 2 2 1
direct
0.000 0.000 0.000 Al
0.500 0.500 0.000 Mg
0.000 0.000 0.500 Mg
0.000 0.500 0.749 Li
0.500 0.000 0.251 Li
0.000 0.500 0.247 Ir
0.500 0.000 0.753 Ir
0.500 0.500 0.500 Ga


No. 5
Li2AlGaNi2Ir2 | the Open Quantum Materials Database | GGA-PBE | relaxed; calculated density = 10310 kg/m3; magnetic moment = 0.00 μB/f.u.; space group = P-4m2 (115); crystal system = tetragonal; total DFT energy (no corrections) = -43.03 eV per cell
1.0
4.115 0.000 0.000
0.000 4.115 0.000
0.000 0.000 5.824
Li Ni Ir Ga Al
2 2 2 1 1
direct
0.500 0.500 0.000 Li
0.000 0.000 0.500 Li
0.000 0.500 0.249 Ni
0.500 0.000 0.751 Ni
0.500 0.000 0.247 Ir
0.000 0.500 0.753 Ir
0.500 0.500 0.500 Ga
0.000 0.000 0.000 Al


No. 6
Li2Sc2AlGaIr2 | the Open Quantum Materials Database | GGA-PBE | relaxed; calculated density = 7827 kg/m3; magnetic moment = 0.01 μB/f.u.; space group = P-4m2 (115); crystal system = tetragonal; total DFT energy (no corrections) = -46.51 eV per cell
1.0
-0.202 4.215 1.388
-0.722 -1.402 4.153
6.199 -0.052 1.059
Ir Li Sc Al Ga
2 2 2 1 1
direct
0.500 0.000 0.754 Ir
0.000 0.500 0.246 Ir
0.500 0.000 0.252 Li
0.000 0.500 0.748 Li
0.500 0.500 0.000 Sc
0.000 0.000 0.500 Sc
0.000 0.000 0.000 Al
0.500 0.500 0.500 Ga


No. 7
Li2AlZn2GaIr2 | the Open Quantum Materials Database | GGA-PBE | relaxed; calculated density = 9434 kg/m3; magnetic moment = 0.00 μB/f.u.; space group = P-4m2 (115); crystal system = tetragonal; total DFT energy (no corrections) = -34.83 eV per cell
1.0
-3.457 -2.318 0.967
0.947 -2.727 -3.151
3.284 -3.297 3.840
Ir Li Zn Ga Al
2 2 2 1 1
direct
0.500 0.000 0.753 Ir
0.000 0.500 0.247 Ir
0.000 0.500 0.748 Li
0.500 0.000 0.252 Li
0.500 0.500 0.000 Zn
0.000 0.000 0.500 Zn
0.500 0.500 0.500 Ga
0.000 0.000 0.000 Al


No. 8
Li2Zr2AlGaIr2 | the Open Quantum Materials Database | GGA-PBE | relaxed; calculated density = 8905 kg/m3; magnetic moment = 0.12 μB/f.u.; space group = P-4m2 (115); crystal system = tetragonal; total DFT energy (no corrections) = -50.90 eV per cell
1.0
-0.118 3.704 2.498
-3.089 -1.873 2.632
4.567 -2.344 3.693
Li Ir Zr Ga Al
2 2 2 1 1
direct
0.000 0.500 0.748 Li
0.500 0.000 0.252 Li
0.000 0.500 0.245 Ir
0.500 0.000 0.755 Ir
0.500 0.500 0.000 Zr
0.000 0.000 0.500 Zr
0.500 0.500 0.500 Ga
0.000 0.000 0.000 Al


No. 9
Na4AlGaIr2 | the Open Quantum Materials Database | GGA-PBE | relaxed; calculated density = 6919 kg/m3; magnetic moment = 0.00 μB/f.u.; space group = P-4m2 (115); crystal system = tetragonal; total DFT energy (no corrections) = -28.88 eV per cell
1.0
-3.615 -1.181 -2.583
-1.004 -3.380 2.950
-3.761 4.081 3.397
Na Ga Al Ir
4 1 1 2
direct
0.000 0.500 0.253 Na
0.500 0.500 0.000 Na
0.000 0.000 0.500 Na
0.500 0.000 0.747 Na
0.500 0.500 0.500 Ga
0.000 0.000 0.000 Al
0.500 0.000 0.246 Ir
0.000 0.500 0.754 Ir


No. 10
Na2Ta2AlGaIr2 | the Open Quantum Materials Database | GGA-PBE | relaxed; calculated density = 11635 kg/m3; magnetic moment = 0.00 μB/f.u.; space group = P-4m2 (115); crystal system = tetragonal; total DFT energy (no corrections) = -52.11 eV per cell
1.0
-4.247 1.270 0.620
-1.390 -4.107 -1.110
0.359 -1.764 6.073
Na Ta Ga Al Ir
2 2 1 1 2
direct
0.000 0.500 0.748 Na
0.500 0.000 0.252 Na
0.500 0.500 0.000 Ta
0.000 0.000 0.500 Ta
0.500 0.500 0.500 Ga
0.000 0.000 0.000 Al
0.500 0.000 0.753 Ir
0.000 0.500 0.247 Ir


No. 11
NdAl4GaIr | the Open Quantum Materials Database | GGA-PBE | relaxed; calculated density = 6440 kg/m3; magnetic moment = 0.01 μB/f.u.; space group = P4/mmm (123); crystal system = tetragonal; total DFT energy (no corrections) = -36.07 eV per cell
1.0
4.333 0.000 0.000
0.000 4.333 0.000
0.000 0.000 7.060
Nd Al Ir Ga
1 4 1 1
direct
0.500 0.500 0.000 Nd
0.000 0.500 0.690 Al
0.500 0.000 0.310 Al
0.500 0.000 0.690 Al
0.000 0.500 0.310 Al
0.500 0.500 0.500 Ir
0.000 0.000 0.000 Ga


No. 12
NdAlGa4Ir | the Open Quantum Materials Database | GGA-PBE | relaxed; calculated density = 7943 kg/m3; magnetic moment = 0.00 μB/f.u.; space group = P4/mmm (123); crystal system = tetragonal; total DFT energy (no corrections) = -33.20 eV per cell
1.0
-3.618 2.105 1.322
-0.756 -3.156 2.955
3.758 3.506 4.706
Ga Nd Ir Al
4 1 1 1
direct
0.500 0.000 0.694 Ga
0.000 0.500 0.306 Ga
0.000 0.500 0.694 Ga
0.500 0.000 0.306 Ga
0.500 0.500 0.000 Nd
0.500 0.500 0.500 Ir
0.000 0.000 0.000 Al